# BeMoPCl2

An optimized crystal structure of BeMoPCl2 (PBE-GGA, Alexandria via LeMat-Bulk).

Cell: 3.9653 3.9653 7.5563 Å, 90.00 90.00 90.00°
With the nearest neighbours (Å) after each atom.
Fractional positions:
Be: 0.0000 0.0000 0.0000  4 Cl 1.98
Mo: 0.5000 0.5000 0.5000  4 P 2.80
P: 0.0000 0.0000 0.5000  4 Mo 2.80
Cl: 0.0000 0.5000 0.0000  2 Be 1.98
Cl: 0.5000 0.0000 0.0000  2 Be 1.98

Values from the calculation:
The density of states at the Fermi level is 0.489 states/eV/atom. The value obtained for the distance to the lowest polymorph of the same formula is 0 meV/atom. The total DFT energy (no corrections) comes out at -21.87 eV for the cell shown. Its total magnetization is 3.0 μB per cell. Its symmetry is P4/mmm, No. 123. The calculation puts the formation energy from raw total energies at 0.358 eV per atom.

# LaCdTe2

An optimized crystal structure of LaCdTe2 (PBE-GGA, Alexandria via LeMat-Bulk).

Cell: 4.6195 4.3075 12.5052 Å, 90.00 90.00 90.00°
With the nearest neighbours (Å) after each atom.
Fractional positions:
La: 0.0000 0.0000 0.0000  6 Te 3.25-3.33, 2 Cd 3.48
La: 0.0000 0.5000 0.5000  6 Te 3.25-3.33, 2 Cd 3.48
Cd: 0.5000 0.0000 0.7921  5 Te 2.90-3.16
Cd: 0.5000 0.5000 0.2921  5 Te 2.90-3.16
Te: 0.0000 0.0000 0.2969  4 Cd 3.16, 2 La 3.33
Te: 0.0000 0.5000 0.7969  4 Cd 3.16, 2 La 3.33
Te: 0.5000 0.0000 0.5600  1 Cd 2.90, 4 La 3.25
Te: 0.5000 0.5000 0.0600  1 Cd 2.90, 4 La 3.25

Values from the calculation:
The density of states at the Fermi level is 0.294 states/eV/atom. The total DFT energy (no corrections) comes out at -32.79 eV for the cell shown. Its total magnetization is 0.0 μB per cell. Its symmetry is Amm2, No. 38. The calculation puts the formation energy from raw total energies at -1.067 eV per atom.

# LiNdPaOs

An optimized crystal structure of LiNdPaOs (PBE-GGA, Alexandria via LeMat-Bulk).

Cell: 7.0236 7.0236 7.0236 Å, 90.00 90.00 90.00°
With the nearest neighbours (Å) after each atom.
Fractional positions:
Li: 0.0000 0.0000 0.0000  4 Pa 3.04, 4 Nd 3.04
Li: 0.0000 0.5000 0.5000  4 Pa 3.04, 4 Nd 3.04
Li: 0.5000 0.0000 0.5000  4 Pa 3.04, 4 Nd 3.04
Li: 0.5000 0.5000 0.0000  4 Pa 3.04, 4 Nd 3.04
Nd: 0.2500 0.2500 0.2500  4 Li 3.04, 4 Os 3.04
Nd: 0.2500 0.7500 0.7500  4 Li 3.04, 4 Os 3.04
Nd: 0.7500 0.2500 0.7500  4 Li 3.04, 4 Os 3.04
Nd: 0.7500 0.7500 0.2500  4 Li 3.04, 4 Os 3.04
Pa: 0.2500 0.2500 0.7500  4 Li 3.04, 4 Os 3.04
Pa: 0.2500 0.7500 0.2500  4 Li 3.04, 4 Os 3.04
Pa: 0.7500 0.2500 0.2500  4 Li 3.04, 4 Os 3.04
Pa: 0.7500 0.7500 0.7500  4 Li 3.04, 4 Os 3.04
Os: 0.0000 0.0000 0.5000  4 Pa 3.04, 4 Nd 3.04
Os: 0.0000 0.5000 0.0000  4 Pa 3.04, 4 Nd 3.04
Os: 0.5000 0.0000 0.0000  4 Pa 3.04, 4 Nd 3.04
Os: 0.5000 0.5000 0.5000  4 Pa 3.04, 4 Nd 3.04

Values from the calculation:
The density of states at the Fermi level is 1.083 states/eV/atom. The total DFT energy (no corrections) comes out at -108.67 eV for the cell shown. As for the calculated formation energy: 0.060 eV/atom. Its total magnetization is 0.0 μB per cell. Its symmetry is F-43m, No. 216.

# CeLuNiAg

An optimized crystal structure of CeLuNiAg (PBE-GGA, Alexandria via LeMat-Bulk).

Cell: 7.0490 7.0490 7.0490 Å, 90.00 90.00 90.00°
With the nearest neighbours (Å) after each atom.
Fractional positions:
Ce: 0.0000 0.0000 0.0000  4 Ag 3.05, 4 Ni 3.05
Ce: 0.0000 0.5000 0.5000  4 Ag 3.05, 4 Ni 3.05
Ce: 0.5000 0.0000 0.5000  4 Ag 3.05, 4 Ni 3.05
Ce: 0.5000 0.5000 0.0000  4 Ag 3.05, 4 Ni 3.05
Lu: 0.0000 0.0000 0.5000  4 Ni 3.05, 4 Ag 3.05
Lu: 0.0000 0.5000 0.0000  4 Ni 3.05, 4 Ag 3.05
Lu: 0.5000 0.0000 0.0000  4 Ni 3.05, 4 Ag 3.05
Lu: 0.5000 0.5000 0.5000  4 Ni 3.05, 4 Ag 3.05
Ni: 0.2500 0.2500 0.7500  4 Ce 3.05, 4 Lu 3.05
Ni: 0.2500 0.7500 0.2500  4 Ce 3.05, 4 Lu 3.05
Ni: 0.7500 0.2500 0.2500  4 Ce 3.05, 4 Lu 3.05
Ni: 0.7500 0.7500 0.7500  4 Ce 3.05, 4 Lu 3.05
Ag: 0.2500 0.2500 0.2500  4 Ce 3.05, 4 Lu 3.05
Ag: 0.2500 0.7500 0.7500  4 Ce 3.05, 4 Lu 3.05
Ag: 0.7500 0.2500 0.7500  4 Ce 3.05, 4 Lu 3.05
Ag: 0.7500 0.7500 0.2500  4 Ce 3.05, 4 Lu 3.05

Values from the calculation:
The density of states at the Fermi level is 1.589 states/eV/atom. The total DFT energy (no corrections) comes out at -79.73 eV for the cell shown. As for the calculated formation energy: -0.211 eV/atom. Its total magnetization is 2.8 μB per cell. Its symmetry is F-43m, No. 216.

# Re3C5

An optimized crystal structure of Re3C5 (PBE-GGA, Alexandria via LeMat-Bulk).

Cell: 5.7021 6.5706 3.9518 Å, 90.00 90.00 90.00°
With the nearest neighbours (Å) after each atom.
Fractional positions:
Re: 0.0000 0.0000 0.0000  8 C 2.17-2.27
Re: 0.0000 0.2865 0.5000  10 C 2.19-2.45
Re: 0.0000 0.7135 0.5000  10 C 2.19-2.45
Re: 0.5000 0.2135 0.5000  10 C 2.19-2.45
Re: 0.5000 0.5000 0.0000  8 C 2.17-2.27
Re: 0.5000 0.7865 0.5000  10 C 2.19-2.45
C: 0.0000 0.5000 0.0000  4 C 2.17, 4 Re 2.42
C: 0.1953 0.0000 0.5000  6 Re 2.19-2.27, 1 C 2.23
C: 0.2500 0.2500 0.0000  2 Re 2.17, 2 C 2.17
C: 0.2500 0.7500 0.0000  2 Re 2.17, 2 C 2.17
C: 0.3047 0.5000 0.5000  6 Re 2.19-2.27, 1 C 2.23
C: 0.5000 0.0000 0.0000  4 C 2.17, 4 Re 2.42
C: 0.6953 0.5000 0.5000  6 Re 2.19-2.27, 1 C 2.23
C: 0.7500 0.2500 0.0000  2 Re 2.17, 2 C 2.17
C: 0.7500 0.7500 0.0000  2 Re 2.17, 2 C 2.17
C: 0.8047 0.0000 0.5000  6 Re 2.19-2.27, 1 C 2.23

Values from the calculation:
The density of states at the Fermi level is 0.402 states/eV/atom. The value obtained for the distance to the lowest polymorph of the same formula is 713 meV/atom. The total DFT energy (no corrections) comes out at -140.42 eV for the cell shown. As for the calculated formation energy: 1.657 eV/atom. Its total magnetization is 0.0 μB per cell. Its symmetry is Cmmm, No. 65.

# BaSc2Be

An optimized crystal structure of BaSc2Be (PBE-GGA, Alexandria via LeMat-Bulk).

Cell: 4.1974 4.1974 23.4422 Å, 90.00 90.00 120.00°
With the nearest neighbours (Å) after each atom.
Fractional positions:
Ba: 0.0000 0.0000 0.0000  6 Sc 3.77, 6 Ba 4.20
Ba: 0.3333 0.6667 0.6667  6 Sc 3.77, 6 Ba 4.20
Ba: 0.6667 0.3333 0.3333  6 Sc 3.77, 6 Ba 4.20
Sc: 0.0000 0.0000 0.2099  3 Be 2.63
Sc: 0.0000 0.0000 0.7901  3 Be 2.63
Sc: 0.3333 0.6667 0.4567  3 Be 2.63
Sc: 0.3333 0.6667 0.8766  3 Be 2.63
Sc: 0.6667 0.3333 0.1234  3 Be 2.63
Sc: 0.6667 0.3333 0.5433  3 Be 2.63
Be: 0.0000 0.0000 0.5000  6 Sc 2.63
Be: 0.3333 0.6667 0.1667  6 Sc 2.63
Be: 0.6667 0.3333 0.8333  6 Sc 2.63

Values from the calculation:
The density of states at the Fermi level is 1.849 states/eV/atom. The total DFT energy (no corrections) comes out at -50.44 eV for the cell shown. As for the calculated formation energy: 0.374 eV/atom. Its total magnetization is 2.9 μB per cell. Its symmetry is R-3m, No. 166.

# KAg2As

An optimized crystal structure of KAg2As (PBE-GGA, Alexandria via LeMat-Bulk).

Cell: 3.4891 3.4891 7.9291 Å, 90.00 90.00 90.00°
With the nearest neighbours (Å) after each atom.
Fractional positions:
K: 0.0000 0.0000 0.0000  4 As 3.46, 4 K 3.49, 5 Ag 3.62-3.78
Ag: 0.0000 0.0000 0.5235  4 As 2.81, 4 Ag 2.89
Ag: 0.5000 0.5000 0.3341  1 As 2.85, 4 Ag 2.89
As: 0.5000 0.5000 0.6940  5 Ag 2.81-2.85

Values from the calculation:
The density of states at the Fermi level is 0.603 states/eV/atom. The total DFT energy (no corrections) comes out at -11.07 eV for the cell shown. As for the calculated formation energy: 0.095 eV/atom. Its total magnetization is 0.0 μB per cell. Its symmetry is P4mm, No. 99.

# Rb2LaReF

An optimized crystal structure of Rb2LaReF (PBE-GGA, Alexandria via LeMat-Bulk).

Cell: 4.9211 4.9211 6.1222 Å, 90.00 90.00 90.00°
With the nearest neighbours (Å) after each atom.
Fractional positions:
Rb: 0.0000 0.5000 0.0000  2 F 2.46
Rb: 0.5000 0.0000 0.0000  2 F 2.46
La: 0.0000 0.0000 0.5000  2 F 3.06
Re: 0.5000 0.5000 0.5000  4 La 3.48
F: 0.0000 0.0000 0.0000  4 Rb 2.46

Values from the calculation:
The density of states at the Fermi level is 1.043 states/eV/atom. The total DFT energy (no corrections) comes out at -20.65 eV for the cell shown. Its total magnetization is 1.7 μB per cell. Its symmetry is P4/mmm, No. 123. The calculation puts the formation energy from raw total energies at 0.106 eV per atom.

# Ho2Fe12Co5

An optimized crystal structure of Ho2Fe12Co5 (PBE-GGA, Alexandria via LeMat-Bulk).

Cell: 6.3672 6.3672 6.3672 Å, 82.64 82.64 82.64°
With the nearest neighbours (Å) after each atom.
Fractional positions:
Ho: 0.1562 0.1562 0.1562  15 Fe 2.96-3.19, 4 Co 3.10-3.27
Ho: 0.8438 0.8438 0.8438  15 Fe 2.96-3.19, 4 Co 3.10-3.27
Fe: 0.1610 0.1610 0.6534  3 Co 2.41-2.60, 6 Fe 2.47-2.59
Fe: 0.1610 0.6534 0.1610  3 Co 2.41-2.60, 6 Fe 2.47-2.59
Fe: 0.2016 0.5000 0.7984  2 Co 2.43, 6 Fe 2.51-2.59
Fe: 0.2016 0.7984 0.5000  2 Co 2.43, 6 Fe 2.51-2.59
Fe: 0.3466 0.8390 0.8390  3 Co 2.41-2.60, 6 Fe 2.47-2.59
Fe: 0.5000 0.2016 0.7984  2 Co 2.43, 6 Fe 2.51-2.59
Fe: 0.5000 0.7984 0.2016  2 Co 2.43, 6 Fe 2.51-2.59
Fe: 0.6534 0.1610 0.1610  3 Co 2.41-2.60, 6 Fe 2.47-2.59
Fe: 0.7984 0.2016 0.5000  2 Co 2.43, 6 Fe 2.51-2.59
Fe: 0.7984 0.5000 0.2016  2 Co 2.43, 6 Fe 2.51-2.59
Fe: 0.8390 0.3466 0.8390  3 Co 2.41-2.60, 6 Fe 2.47-2.59
Fe: 0.8390 0.8390 0.3466  3 Co 2.41-2.60, 6 Fe 2.47-2.59
Co: 0.0000 0.5000 0.5000  8 Fe 2.41-2.43, 2 Co 2.59
Co: 0.4069 0.4069 0.4069  1 Co 2.30
Co: 0.5000 0.0000 0.5000  8 Fe 2.41-2.43, 2 Co 2.59
Co: 0.5000 0.5000 0.0000  8 Fe 2.41-2.43, 2 Co 2.59
Co: 0.5931 0.5931 0.5931  1 Co 2.30

Values from the calculation:
The density of states at the Fermi level is 1.017 states/eV/atom. The total DFT energy (no corrections) comes out at -147.18 eV for the cell shown. As for the calculated formation energy: -0.050 eV/atom. Its total magnetization is 36.1 μB per cell. Its symmetry is R-3m, No. 166.

# SnPRh2

An optimized crystal structure of SnPRh2 (PBE-GGA, Alexandria via LeMat-Bulk).

Cell: 5.3919 5.3919 11.7684 Å, 90.00 90.00 90.00°
With the nearest neighbours (Å) after each atom.
Fractional positions:
Sn: 0.0000 0.0000 0.0000  4 Rh 2.62
Sn: 0.0000 0.5000 0.2500  4 Rh 2.62
Sn: 0.5000 0.0000 0.7500  4 Rh 2.62
Sn: 0.5000 0.5000 0.5000  4 Rh 2.62
P: 0.0000 0.0000 0.5000  4 Rh 2.23
P: 0.0000 0.5000 0.7500  4 Rh 2.23
P: 0.5000 0.0000 0.2500  4 Rh 2.23
P: 0.5000 0.5000 0.0000  4 Rh 2.23
Rh: 0.1841 0.2500 0.6250  2 P 2.23
Rh: 0.2500 0.6841 0.8750  2 P 2.23
Rh: 0.2500 0.8159 0.3750  2 P 2.23
Rh: 0.3159 0.2500 0.1250  2 P 2.23
Rh: 0.6841 0.7500 0.1250  2 P 2.23
Rh: 0.7500 0.1841 0.3750  2 P 2.23
Rh: 0.7500 0.3159 0.8750  2 P 2.23
Rh: 0.8159 0.7500 0.6250  2 P 2.23

Values from the calculation:
The density of states at the Fermi level is 0.551 states/eV/atom. The total DFT energy (no corrections) comes out at -100.00 eV for the cell shown. As for the calculated formation energy: -0.221 eV/atom. Its total magnetization is 0.0 μB per cell. Its symmetry is I-42d, No. 122.

# TlZn6F12

An optimized crystal structure of TlZn6F12 (PBE-GGA, Alexandria via LeMat-Bulk).

Cell: 6.5837 6.5837 6.5837 Å, 106.22 106.22 106.22°
With the nearest neighbours (Å) after each atom.
Fractional positions:
Tl: 0.0000 0.0000 0.0000  18 F 3.24-3.53
Zn: 0.2403 0.2403 0.6261  5 F 2.09-2.11
Zn: 0.2403 0.6261 0.2403  5 F 2.09-2.11
Zn: 0.3739 0.7597 0.7597  5 F 2.09-2.11
Zn: 0.6261 0.2403 0.2403  5 F 2.09-2.11
Zn: 0.7597 0.3739 0.7597  5 F 2.09-2.11
Zn: 0.7597 0.7597 0.3739  5 F 2.09-2.11
F: 0.1208 0.5000 0.8792  2 Zn 2.11
F: 0.1208 0.8792 0.5000  2 Zn 2.11
F: 0.1825 0.4584 0.4584  3 Zn 2.09-2.11
F: 0.4584 0.1825 0.4584  3 Zn 2.09-2.11
F: 0.4584 0.4584 0.1825  3 Zn 2.09-2.11
F: 0.5000 0.1208 0.8792  2 Zn 2.11
F: 0.5000 0.8792 0.1208  2 Zn 2.11
F: 0.5416 0.5416 0.8175  3 Zn 2.09-2.11
F: 0.5416 0.8175 0.5416  3 Zn 2.09-2.11
F: 0.8175 0.5416 0.5416  3 Zn 2.09-2.11
F: 0.8792 0.1208 0.5000  2 Zn 2.11
F: 0.8792 0.5000 0.1208  2 Zn 2.11

Values from the calculation:
The density of states at the Fermi level is 0.245 states/eV/atom. The total DFT energy (no corrections) comes out at -69.83 eV for the cell shown. Its total magnetization is 0.0 μB per cell. Its symmetry is R-3m, No. 166. The calculation puts the formation energy from raw total energies at -1.967 eV per atom.

# Th2TeAu

An optimized crystal structure of Th2TeAu (PBE-GGA, Alexandria via LeMat-Bulk).

Cell: 3.6363 3.6363 8.1755 Å, 90.00 90.00 90.00°
With the nearest neighbours (Å) after each atom.
Fractional positions:
Th: 0.0000 0.0000 0.2431  4 Au 3.25, 4 Te 3.32, 4 Th 3.64
Th: 0.0000 0.0000 0.7569  4 Au 3.25, 4 Te 3.32, 4 Th 3.64
Te: 0.5000 0.5000 0.5000  8 Th 3.32, 4 Te 3.64
Au: 0.5000 0.5000 0.0000  8 Th 3.25, 4 Au 3.64

Values from the calculation:
The density of states at the Fermi level is 0.687 states/eV/atom. The value obtained for the distance to the lowest polymorph of the same formula is 46 meV/atom. The total DFT energy (no corrections) comes out at -24.31 eV for the cell shown. Its total magnetization is 0.0 μB per cell. Its symmetry is P4/mmm, No. 123. The calculation puts the formation energy from raw total energies at -0.762 eV per atom.

# ZrNi2Mo2

An optimized crystal structure of ZrNi2Mo2 (PBE-GGA, Alexandria via LeMat-Bulk).

Cell: 3.8029 3.8029 11.2780 Å, 90.00 90.00 90.00°
With the nearest neighbours (Å) after each atom.
Fractional positions:
Zr: 0.0000 0.0000 0.0000  8 Mo 2.95
Zr: 0.5000 0.5000 0.5000  8 Mo 2.95
Ni: 0.0000 0.5000 0.2500  4 Mo 2.49, 4 Ni 2.69
Ni: 0.0000 0.5000 0.7500  4 Mo 2.49, 4 Ni 2.69
Ni: 0.5000 0.0000 0.2500  4 Mo 2.49, 4 Ni 2.69
Ni: 0.5000 0.0000 0.7500  4 Mo 2.49, 4 Ni 2.69
Mo: 0.0000 0.0000 0.3919  1 Mo 2.44, 4 Ni 2.49
Mo: 0.0000 0.0000 0.6081  1 Mo 2.44, 4 Ni 2.49
Mo: 0.5000 0.5000 0.1081  1 Mo 2.44, 4 Ni 2.49
Mo: 0.5000 0.5000 0.8919  1 Mo 2.44, 4 Ni 2.49

Values from the calculation:
The density of states at the Fermi level is 1.861 states/eV/atom. The value obtained for the distance to the lowest polymorph of the same formula is 235 meV/atom. The total DFT energy (no corrections) comes out at -80.84 eV for the cell shown. As for the calculated formation energy: 0.271 eV/atom. Its total magnetization is 0.0 μB per cell. Its symmetry is I4/mmm, No. 139.